No. 1
PBE DyHoEr4Tm2, optimized geometry; total energy = -36.2 eV per cell; formation enthalpy at 0 K = 24 meV per atom; total magnetization = 0.000 μB/atom
1.0
4.946 0.000 0.000
0.000 4.946 0.000
0.000 0.000 9.911
Dy Ho Er Tm
1 1 4 2
Direct
0.000 0.000 0.000
0.500 0.500 0.500
0.000 0.500 0.250
0.000 0.500 0.750
0.500 0.000 0.250
0.500 0.000 0.750
0.000 0.000 0.500
0.500 0.500 0.000

---

No. 2
PBE Dy2HoEr3Tm6, optimized geometry; total energy = -54.0 eV per cell; formation enthalpy at 0 K = 24 meV per atom; total magnetization = 0.000 μB/atom
1.0
3.030 -5.241 0.000
3.030 5.241 0.000
-2.014 0.000 11.408
Dy Ho Er Tm
2 1 3 6
Direct
0.167 0.833 0.000
0.833 0.167 0.000
0.500 0.500 0.000
0.000 0.000 0.500
0.333 0.667 0.500
0.667 0.333 0.500
0.083 0.416 0.749
0.250 0.250 0.251
0.416 0.083 0.749
0.584 0.917 0.251
0.750 0.750 0.749
0.917 0.584 0.251

---

No. 3
PBE DyHoEr5Tm2, optimized geometry; total energy = -79.0 eV per cell; formation enthalpy at 0 K = 162 meV per atom; total magnetization = 0.000 μB/atom
1.0
2.758 -9.776 0.000
2.758 9.776 0.000
0.000 0.000 10.450
Dy Ho Er Tm
2 2 10 4
Direct
0.086 0.914 0.500
0.914 0.086 0.000
0.300 0.700 0.056
0.700 0.300 0.556
0.021 0.979 0.783
0.110 0.890 0.068
0.200 0.800 0.754
0.218 0.782 0.354
0.482 0.518 0.070
0.518 0.482 0.570
0.782 0.218 0.854
0.800 0.200 0.254
0.890 0.110 0.568
0.979 0.021 0.283
0.387 0.613 0.363
0.391 0.609 0.783
0.609 0.391 0.283
0.613 0.387 0.863

---

No. 4
PBE Dy6Ho2ErTm3, optimized geometry; total energy = -54.5 eV per cell; formation enthalpy at 0 K = 20 meV per atom; total magnetization = 0.000 μB/atom
1.0
3.046 -5.269 0.000
3.046 5.269 0.000
-2.020 0.000 11.458
Dy Ho Er Tm
6 2 1 3
Direct
0.084 0.417 0.751
0.249 0.249 0.249
0.417 0.084 0.751
0.583 0.916 0.249
0.751 0.751 0.751
0.916 0.583 0.249
0.333 0.667 0.500
0.667 0.333 0.500
0.000 0.000 0.500
0.167 0.833 0.000
0.500 0.500 0.000
0.833 0.167 0.000

---

No. 5
PBE DyHoErTm3, optimized geometry; total energy = -54.0 eV per cell; formation enthalpy at 0 K = 24 meV per atom; total magnetization = 0.000 μB/atom
1.0
2.474 -7.430 0.000
2.474 7.430 0.000
0.000 0.000 9.882
Dy Ho Er Tm
2 2 2 6
Direct
0.000 0.000 0.250
0.000 0.000 0.750
0.500 0.500 0.000
0.500 0.500 0.500
0.333 0.667 0.750
0.667 0.333 0.250
0.167 0.833 0.000
0.167 0.833 0.500
0.333 0.667 0.250
0.667 0.333 0.750
0.833 0.167 0.000
0.833 0.167 0.500

---

No. 6
PBE DyHo5ErTm2, optimized geometry; total energy = -79.1 eV per cell; formation enthalpy at 0 K = 160 meV per atom; total magnetization = 0.000 μB/atom
1.0
2.763 -9.821 0.000
2.763 9.821 0.000
0.000 0.000 10.466
Dy Ho Er Tm
2 10 2 4
Direct
0.200 0.800 0.500
0.800 0.200 0.000
0.018 0.982 0.513
0.281 0.719 0.797
0.300 0.700 0.197
0.390 0.610 0.512
0.479 0.521 0.227
0.521 0.479 0.727
0.610 0.390 0.012
0.700 0.300 0.697
0.719 0.281 0.297
0.982 0.018 0.013
0.413 0.587 0.945
0.587 0.413 0.445
0.109 0.891 0.227
0.113 0.887 0.806
0.887 0.113 0.306
0.891 0.109 0.727

---

No. 7
PBE DyHoEr2Tm6, optimized geometry; total energy = -87.8 eV per cell; formation enthalpy at 0 K = 124 meV per atom; total magnetization = 0.000 μB/atom
1.0
4.456 -7.394 0.000
4.456 7.394 0.000
-1.234 0.000 9.318
Dy Ho Er Tm
2 2 4 12
Direct
0.024 0.976 0.750
0.976 0.024 0.250
0.409 0.591 0.250
0.591 0.409 0.750
0.196 0.302 0.545
0.302 0.196 0.045
0.698 0.804 0.955
0.804 0.698 0.455
0.021 0.571 0.684
0.125 0.751 0.057
0.249 0.875 0.443
0.290 0.504 0.881
0.429 0.979 0.816
0.496 0.710 0.619
0.504 0.290 0.381
0.571 0.021 0.184
0.710 0.496 0.119
0.751 0.125 0.557
0.875 0.249 0.943
0.979 0.429 0.316

---

No. 8
PBE DyHoErTm, optimized geometry; total energy = -36.2 eV per cell; formation enthalpy at 0 K = 23 meV per atom; total magnetization = 0.000 μB/atom
1.0
4.958 0.000 0.000
0.000 4.958 0.000
0.000 0.000 9.922
Dy Ho Er Tm
2 2 2 2
Direct
0.000 0.000 0.000
0.500 0.500 0.500
0.000 0.500 0.250
0.500 0.000 0.750
0.000 0.000 0.500
0.500 0.500 0.000
0.000 0.500 0.750
0.500 0.000 0.250

---

No. 9
PBE Dy6HoEr2Tm3, optimized geometry; total energy = -54.5 eV per cell; formation enthalpy at 0 K = 21 meV per atom; total magnetization = 0.000 μB/atom
1.0
3.044 -5.267 0.000
3.044 5.267 0.000
-2.020 0.000 11.452
Dy Ho Er Tm
6 1 2 3
Direct
0.084 0.417 0.751
0.249 0.249 0.249
0.417 0.084 0.751
0.583 0.916 0.249
0.751 0.751 0.751
0.916 0.583 0.249
0.000 0.000 0.500
0.333 0.667 0.500
0.667 0.333 0.500
0.167 0.833 0.000
0.500 0.500 0.000
0.833 0.167 0.000

---

No. 10
PBE Dy2Ho4ErTm2, optimized geometry; total energy = -40.8 eV per cell; formation enthalpy at 0 K = 25 meV per atom; total magnetization = 0.000 μB/atom
1.0
8.450 -1.761 0.000
8.450 1.761 0.000
-1.854 0.000 9.338
Dy Ho Er Tm
2 4 1 2
Direct
0.152 0.152 0.091
0.848 0.848 0.909
0.178 0.178 0.740
0.484 0.484 0.175
0.516 0.516 0.825
0.822 0.822 0.260
0.000 0.000 0.500
0.336 0.336 0.577
0.664 0.664 0.423

---

No. 11
PBE Dy3Ho2ErTm6, optimized geometry; total energy = -54.1 eV per cell; formation enthalpy at 0 K = 23 meV per atom; total magnetization = 0.000 μB/atom
1.0
3.034 -5.249 0.000
3.034 5.249 0.000
-2.018 0.000 11.417
Dy Ho Er Tm
3 2 1 6
Direct
0.000 0.000 0.000
0.333 0.667 0.000
0.667 0.333 0.000
0.167 0.833 0.500
0.833 0.167 0.500
0.500 0.500 0.500
0.084 0.417 0.251
0.250 0.250 0.749
0.417 0.084 0.251
0.583 0.916 0.749
0.750 0.750 0.251
0.916 0.583 0.749

---

No. 12
PBE DyHoErTm2, optimized geometry; total energy = -41.6 eV per cell; formation enthalpy at 0 K = 378 meV per atom; total magnetization = 0.053 μB/atom
1.0
3.134 -8.279 0.000
3.134 8.279 0.000
0.000 0.000 6.266
Dy Ho Er Tm
2 2 2 4
Direct
0.156 0.844 0.750
0.844 0.156 0.250
0.344 0.656 0.750
0.656 0.344 0.250
0.250 0.750 0.250
0.750 0.250 0.750
0.250 0.250 0.000
0.250 0.250 0.500
0.750 0.750 0.000
0.750 0.750 0.500